# LiAl4CuSe2, optimized geometry, DFT PBE
data_LiAl4CuSe2
_chemical_formula_sum 'Li2 Al8 Cu2 Se4'
_cell_length_a 6.181
_cell_length_b 6.181
_cell_length_c 10.227
_cell_angle_alpha 90.00
_cell_angle_beta 90.00
_cell_angle_gamma 90.00
_symmetry_space_group_name_H-M 'I -4'
_symmetry_Int_Tables_number 82
_symmetry_space_group_name_Hall 'I -4'
loop_
_atom_site_label
_atom_site_fract_x
_atom_site_fract_y
_atom_site_fract_z
Li1 0.000 0.000 0.000
Al1 0.224 0.747 0.642
Cu1 0.000 0.500 0.750
Se1 0.000 0.000 0.500
Se2 0.000 0.500 0.250
# - total energy (eV per atom) = -3.36
# - crystal system = tetragonal